1.
Computed, not measured: crystalline ScInW2 at its relaxed geometry at the GGA-PBE level of DFT.

abc: 5.421 5.421 5.421
angles: 136.93 136.93 62.55
Atoms (fractional coordinates):
Sc: 0.000 0.000 0.000
In: 0.500 0.500 0.000
W: 0.250 0.750 0.500
W: 0.750 0.250 0.500

## Properties
total magnetic moment	0.00	μB per atom
calculated formation energy	0.33	eV/atom
Fermi-level density of states	0.61	states/eV per atom

2.
Computed, not measured: crystalline La2Ge3SbPt4 at its relaxed geometry at the GGA-PBE level of DFT.

abc: 4.505 4.505 10.231
angles: 90.00 90.00 90.00
Atoms (fractional coordinates):
La: 0.000 0.500 0.239
La: 0.500 0.000 0.761
Ge: 0.000 0.500 0.877
Ge: 0.500 0.000 0.123
Ge: 0.500 0.500 0.500
Sb: 0.000 0.000 0.500
Pt: 0.000 0.000 0.000
Pt: 0.000 0.500 0.635
Pt: 0.500 0.000 0.365
Pt: 0.500 0.500 0.000

## Properties
formation energy from raw total energies	-0.934	eV per atom
total magnetic moment	0.00	μB per atom
Fermi-level density of states	0.70	states/eV per atom

3.
Computed, not measured: crystalline LuZrZnRh at its relaxed geometry at the GGA-PBE level of DFT.

abc: 4.769 4.769 4.769
angles: 60.00 60.00 60.00
Atoms (fractional coordinates):
Lu: 0.000 0.000 0.000
Zr: 0.500 0.500 0.500
Zn: 0.250 0.250 0.250
Rh: 0.750 0.750 0.750

## Properties
total magnetic moment	0.00	μB per atom
calculated formation energy	-0.54	eV/atom
Fermi-level density of states	1.00	states/eV per atom

4.
Computed, not measured: crystalline TiCoSb at its relaxed geometry at the GGA-PBE level of DFT.

abc: 5.351 5.351 6.535
angles: 100.19 100.19 33.17
Atoms (fractional coordinates):
Ti: 0.205 0.205 0.172
Ti: 0.795 0.795 0.828
Co: 0.357 0.357 0.529
Co: 0.643 0.643 0.471
Sb: 0.056 0.056 0.758
Sb: 0.944 0.944 0.242

## Properties
formation energy from raw total energies	-0.131	eV per atom
total magnetic moment	0.21	μB per atom
Fermi-level density of states	0.96	states/eV per atom

5.
Computed, not measured: crystalline CeCo2Tc at its relaxed geometry at the GGA-PBE level of DFT.

abc: 5.244 5.244 5.244
angles: 46.88 46.88 46.88
Atoms (fractional coordinates):
Ce: 0.000 0.000 0.000
Co: 0.192 0.192 0.192
Co: 0.808 0.808 0.808
Tc: 0.500 0.500 0.500

## Properties
total magnetic moment	0.00	μB per atom
calculated formation energy	0.01	eV/atom
Fermi-level density of states	1.45	states/eV per atom

6.
Computed, not measured: crystalline BaCrPbBr2 at its relaxed geometry at the GGA-PBE level of DFT.

abc: 6.003 6.003 5.479
angles: 90.00 90.00 90.00
Atoms (fractional coordinates):
Ba: 0.000 0.000 0.000
Cr: 0.500 0.500 0.000
Pb: 0.500 0.500 0.500
Br: 0.000 0.500 0.500
Br: 0.500 0.000 0.500

## Properties
formation energy from raw total energies	-0.234	eV per atom
total magnetic moment	0.95	μB per atom
Fermi-level density of states	0.44	states/eV per atom

7.
Computed, not measured: crystalline K2Al2P2S at its relaxed geometry at the GGA-PBE level of DFT.

abc: 6.840 6.840 7.961
angles: 120.01 120.01 33.34
Atoms (fractional coordinates):
K: 0.070 0.070 0.350
K: 0.930 0.930 0.650
Al: 0.308 0.308 0.938
Al: 0.692 0.692 0.062
P: 0.303 0.303 0.237
P: 0.697 0.697 0.763
S: 0.500 0.500 0.000

## Properties
formation energy from raw total energies	-0.807	eV per atom
total magnetic moment	0.00	μB per atom
Fermi-level density of states	0.00	states/eV per atom

8.
Computed, not measured: crystalline RbInSn2 at its relaxed geometry at the GGA-PBE level of DFT.

abc: 4.033 4.033 8.173
angles: 90.00 90.00 90.00
Atoms (fractional coordinates):
Rb: 0.000 0.000 0.000
In: 0.000 0.000 0.500
Sn: 0.500 0.500 0.319
Sn: 0.500 0.500 0.681

## Properties
total magnetic moment	0.00	μB per atom
calculated formation energy	-0.12	eV/atom
Fermi-level density of states	0.21	states/eV per atom

9.
Computed, not measured: crystalline SiTcNiRh at its relaxed geometry at the GGA-PBE level of DFT.

abc: 3.925 5.012 5.012
angles: 31.55 90.00 90.00
Atoms (fractional coordinates):
Si: 0.000 0.000 0.000
Tc: 0.500 0.614 0.614
Ni: 0.500 0.877 0.877
Rh: 0.000 0.261 0.261

## Properties
formation energy from raw total energies	-0.291	eV per atom
total magnetic moment	0.00	μB per atom
Fermi-level density of states	0.77	states/eV per atom

10.
Computed, not measured: crystalline Mg2As2Ru at its relaxed geometry at the GGA-PBE level of DFT.

abc: 6.346 6.346 4.451
angles: 90.00 90.00 90.00
Atoms (fractional coordinates):
Mg: 0.181 0.319 0.000
Mg: 0.319 0.819 0.000
Mg: 0.681 0.181 0.000
Mg: 0.819 0.681 0.000
As: 0.140 0.640 0.500
As: 0.360 0.140 0.500
As: 0.640 0.860 0.500
As: 0.860 0.360 0.500
Ru: 0.000 0.000 0.500
Ru: 0.500 0.500 0.500

## Properties
total magnetic moment	0.00	μB per atom
calculated formation energy	-0.32	eV/atom
Fermi-level density of states	0.21	states/eV per atom

11.
Computed, not measured: crystalline InPS2Cl at its relaxed geometry at the GGA-PBE level of DFT.

abc: 5.213 5.213 5.011
angles: 90.00 90.00 90.00
Atoms (fractional coordinates):
In: 0.000 0.000 0.000
P: 0.500 0.500 0.500
S: 0.000 0.500 0.000
S: 0.500 0.000 0.000
Cl: 0.000 0.000 0.500

## Properties
formation energy from raw total energies	0.635	eV per atom
polymorph energy (0 for the lowest one)	624.6	meV/atom
total magnetic moment	0.19	μB per atom
Fermi-level density of states	0.44	states/eV per atom

12.
Computed, not measured: crystalline KRb17Na11 at its relaxed geometry at the GGA-PBE level of DFT.

abc: 13.651 13.651 13.586
angles: 109.49 109.49 109.47
Atoms (fractional coordinates):
K: 0.000 0.000 0.000
Rb: 0.031 0.374 0.200
Rb: 0.056 0.761 0.188
Rb: 0.060 0.362 0.590
Rb: 0.088 0.683 0.510
Rb: 0.357 0.765 0.887
Rb: 0.361 0.361 0.855
Rb: 0.362 0.060 0.590
Rb: 0.374 0.031 0.200
Rb: 0.374 0.374 0.200
Rb: 0.617 0.946 0.772
Rb: 0.665 0.665 0.909
Rb: 0.683 0.088 0.510
Rb: 0.713 0.713 0.539
Rb: 0.761 0.056 0.188
Rb: 0.765 0.357 0.887
Rb: 0.946 0.617 0.772
Rb: 0.955 0.955 0.462
Na: 0.009 0.195 0.828
Na: 0.189 0.538 0.016
Na: 0.195 0.009 0.828
Na: 0.199 0.199 0.381
Na: 0.367 0.722 0.367
Na: 0.369 0.545 0.547
Na: 0.538 0.189 0.016
Na: 0.541 0.720 0.195
Na: 0.545 0.369 0.547
Na: 0.720 0.541 0.195
Na: 0.722 0.367 0.367

## Properties
total magnetic moment	0.00	μB per atom
calculated formation energy	0.03	eV/atom
Fermi-level density of states	0.77	states/eV per atom